Below is a relaxed structure of MgZnPb, with properties calculated at the GGA-PBE level.

Cell lengths 5.757, 5.344, 5.757 Å; angles 62.24, 105.22, 117.77 degrees
Fractional coordinates of all 6 atoms:
Pb 0.127 0.475 0.006
Pb 0.432 0.280 0.702
Zn 0.651 0.377 0.225
Zn 0.652 0.877 0.226
Mg 0.801 0.953 0.725
Mg 0.151 0.801 0.375

Calculated values
Formation energy from the elements, eV per atom: 0.018

Below is a relaxed structure of MgZnPb3, with properties calculated at the GGA-PBE level.

Cell lengths 5.538, 5.538, 5.538 Å; angles 90.00, 90.00, 90.00 degrees
Fractional coordinates of all 5 atoms:
Pb 0.000 0.500 0.000
Pb 0.000 0.000 0.500
Pb 0.500 0.000 0.000
Zn 0.500 0.500 0.500
Mg 0.000 0.000 0.000

Calculated values
Excess energy over the best structure of this formula in the dataset, meV per atom: 158.7
Formation energy from the elements, eV per atom: 0.487

Below is a relaxed structure of Mg2ZnPb2, with properties calculated at the GGA-PBE level.

Cell lengths 7.271, 7.271, 4.796 Å; angles 90.00, 90.00, 90.00 degrees
Fractional coordinates of all 10 atoms:
Pb 0.163 0.663 0.500
Pb 0.663 0.837 0.500
Pb 0.837 0.337 0.500
Pb 0.337 0.163 0.500
Mg 0.148 0.352 0.000
Mg 0.852 0.648 0.000
Mg 0.648 0.148 0.000
Mg 0.352 0.852 0.000
Zn 0.500 0.500 0.000
Zn 0.000 0.000 0.000

Calculated values
Excess energy over the best structure of this formula in the dataset, meV per atom: 0.0
Formation energy from the elements, eV per atom: 0.070

Below is a relaxed structure of MgZn3Pb, with properties calculated at the GGA-PBE level.

Cell lengths 5.043, 5.043, 5.043 Å; angles 90.00, 90.00, 90.00 degrees
Fractional coordinates of all 5 atoms:
Zn 0.000 0.500 0.000
Zn 0.500 0.000 0.000
Zn 0.000 0.000 0.500
Mg 0.000 0.000 0.000
Pb 0.500 0.500 0.500

Calculated values
Excess energy over the best structure of this formula in the dataset, meV per atom: 0.0
Formation energy from the elements, eV per atom: 0.519

Below is a relaxed structure of Mg5ZnPb, with properties calculated at the GGA-PBE level.

Cell lengths 4.635, 4.635, 7.637 Å; angles 90.00, 90.00, 90.00 degrees
Fractional coordinates of all 7 atoms:
Mg 0.000 0.500 0.298
Mg 0.500 0.500 0.000
Mg 0.000 0.500 0.702
Mg 0.500 0.000 0.298
Mg 0.500 0.000 0.702
Zn 0.000 0.000 0.500
Pb 0.000 0.000 0.000

Calculated values
Excess energy over the best structure of this formula in the dataset, meV per atom: 0.0
Formation energy from the elements, eV per atom: -0.009

Below is a relaxed structure of MgZnPb, with properties calculated at the GGA-PBE level.

Cell lengths 4.342, 7.332, 4.446 Å; angles 90.10, 89.99, 89.76 degrees
Fractional coordinates of all 6 atoms:
Zn 0.513 0.549 0.783
Zn 0.515 0.298 0.281
Pb 0.517 0.972 0.780
Pb 0.012 0.605 0.283
Mg 0.018 0.018 0.280
Mg 0.015 0.300 0.781

Calculated values
Formation energy from the elements, eV per atom: 0.071

Across the entries above, calculated total energy takes the values -6.523; -11.561; -11.528; -6.527; -13.019; -6.364 eV/f.u., respectively.